[1]
! KLiBe2 PBE-GGA optimized geometry; values from VASP
&SYSTEM
  ibrav = 0, nat = 8, ntyp = 3
/
ATOMIC_SPECIES
K 39.10 K.upf
Li 6.94 Li.upf
Be 9.01 Be.upf
CELL_PARAMETERS angstrom
3.7278 0.0000 -0.0061
0.0000 4.2751 0.0000
-0.4886 0.0000 12.4649
ATOMIC_POSITIONS angstrom
K 3.3217 2.1375 1.9136
K 0.9119 0.0000 10.2954
Li 2.8186 0.0000 5.1177
Li 0.9772 2.1375 5.4007
Be 0.9580 2.1375 7.6649
Be 2.8222 1.0842 7.4100
Be 2.8222 3.1908 7.4100
Be 0.9583 0.0000 7.1732
! Electronic total energy   -0.17910 Ry/atom
! E_form   0.179 eV per atom
! M_tot   0.0000 μB/atom
! Symmetry   Pm, No. 6
! Energy above the lowest structure with this stoichiometry   0.003 eV/atom

=====

[2]
! SiTc2BI PBE-GGA optimized geometry; values from VASP
&SYSTEM
  ibrav = 0, nat = 5, ntyp = 4
/
ATOMIC_SPECIES
I 126.90 I.upf
Si 28.09 Si.upf
B 10.81 B.upf
Tc 98.00 Tc.upf
CELL_PARAMETERS angstrom
-3.1002 -1.5912 3.1315
-1.8306 -1.7913 -2.7225
2.6596 -3.7916 0.7064
ATOMIC_POSITIONS angstrom
I -1.1356 -3.5871 0.5577
Si 0.0000 0.0000 0.0000
B -0.9153 -0.8956 -1.3612
Tc 1.3298 -1.8958 0.3532
Tc -1.5501 -0.7956 1.5657
! Electronic total energy   -0.41993 Ry/atom
! ΔE_f (raw)   1.163 eV per atom
! M_tot   0.0000 μB/atom
! Symmetry   P4/mmm, No. 123

=====

[3]
! TaTl2 PBE-GGA optimized geometry; values from VASP
&SYSTEM
  ibrav = 0, nat = 6, ntyp = 2
/
ATOMIC_SPECIES
Ta 180.95 Ta.upf
Tl 204.38 Tl.upf
CELL_PARAMETERS angstrom
4.4749 -1.2287 3.4120
5.5978 -1.2310 0.5706
1.4801 9.0498 0.5778
ATOMIC_POSITIONS angstrom
Ta 5.0626 2.2063 1.9989
Ta 6.4902 4.3838 2.5614
Tl 2.6899 7.9183 1.0568
Tl 9.1993 3.8275 3.6324
Tl 2.3535 2.7626 0.9279
Tl 8.8628 -1.3282 3.5035
! Electronic total energy   -0.36201 Ry/atom
! E_form   0.603 eV per atom
! M_tot   0.0000 μB/atom
! Symmetry   C2/m, No. 12
! Energy above the lowest structure with this stoichiometry   0.135 eV/atom